Rb2HoCo3F12: optimized geometry, PBE+U.

Summary:
Its calculated volume is 303.0 Å³/cell. For the total energy, the calculation gives -0.3789 Ry/atom. The symmetry is R-3m (166).

abc: 7.594 7.594 7.594
angles: 59.05 59.05 59.05
Fractional positions:
1 Rb 0.612 0.612 0.612
2 Rb 0.388 0.388 0.388
3 Ho 0.000 0.000 0.000
4 Co 0.500 0.000 0.000
5 Co 0.000 0.500 0.000
6 Co 0.000 0.000 0.500
7 F 0.311 0.311 0.921
8 F 0.916 0.916 0.347
9 F 0.347 0.916 0.916
10 F 0.921 0.311 0.311
11 F 0.916 0.347 0.916
12 F 0.311 0.921 0.311
13 F 0.689 0.689 0.079
14 F 0.084 0.084 0.653
15 F 0.653 0.084 0.084
16 F 0.079 0.689 0.689
17 F 0.084 0.653 0.084
18 F 0.689 0.079 0.689